(1)
The following is a PBE-GGA calculation of a relaxed structure of TlAs2Ir, from Alexandria via LeMat-Bulk.

Unit cell a=4.383 b=4.383 c=7.973 alpha=90.00 beta=90.00 gamma=90.00
Space group I-4m2 (No. 119)
Symmetry-distinct sites (fractional):
Tl1 0.000 0.000 0.000 x2
As1 0.000 0.000 0.500 x2
As2 0.000 0.500 0.750 x2
Ir1 0.000 0.500 0.250 x2

Summary:
Energy above the most stable polymorph in this dataset in meV per atom: 634.4

***

(2)
The following is a PBE-GGA calculation of a relaxed structure of MgRuRh2, from Alexandria via LeMat-Bulk.

Unit cell a=7.092 b=7.092 c=5.309 alpha=90.00 beta=90.00 gamma=90.00
Space group I-42d (No. 122)
Symmetry-distinct sites (fractional):
Mg1 0.000 0.000 0.000 x4
Ru1 0.000 0.000 0.500 x4
Rh1 0.218 0.750 0.625 x8

***

(3)
The following is a PBE-GGA calculation of a relaxed structure of RbNaAuS2, from Alexandria via LeMat-Bulk.

Unit cell a=5.972 b=5.972 c=5.990 alpha=90.00 beta=90.00 gamma=90.00
Space group P4/mmm (No. 123)
Symmetry-distinct sites (fractional):
Rb1 0.000 0.000 0.000 x1
Na1 0.500 0.500 0.500 x1
Au1 0.000 0.000 0.500 x1
S1 0.000 0.500 0.000 x2

Summary:
Energy above the most stable polymorph in this dataset in meV per atom: 1293.7

***

Number 1: VASP energy -4.57 eV per atom, total moment 0.0 μB/f.u.. Number 2: VASP energy -6.00 eV per atom, total moment 0.0 μB/f.u.. Number 3: VASP energy -2.12 eV per atom, total moment 2.4 μB/f.u..